{"formula": "SrTaMn2", "functional": "PBE", "state": "relaxed", "m_tot_mub_per_cell": 4.3, "spacegroup": "No. 38", "n_ef_per_ev_atom": 1.0004, "polymorph_energy_ev_per_fu": 0.899, "energy_ev_per_atom": -7.37, "lattice_angstrom": [[4.0778, 0.0000, 0.0000], [0.0000, 3.4162, -0.0089], [0.0000, 1.7197, 6.2548]], "species": ["Mn", "Ta", "Sr", "Mn"], "fractional_positions": [[0.0000, 0.2063, 0.9613], [0.5000, 0.7391, 0.8962], [0.0000, 0.4594, 0.4579], [0.5000, 0.0952, 0.1846]]}

{"formula": "YBe2Sn", "functional": "PBE", "state": "relaxed", "m_tot_mub_per_cell": 0.0, "spacegroup": "No. 141", "n_ef_per_ev_atom": 0.3181, "energy_ev_per_atom": -4.33, "lattice_angstrom": [[4.4162, 0.0000, 0.0000], [0.0000, 4.4162, 0.0000], [2.2081, 2.2081, 8.4785]], "species": ["Y", "Sn", "Be", "Be", "Y", "Be", "Sn", "Be"], "fractional_positions": [[0.2500, 0.7500, 0.5000], [0.7500, 0.2500, 0.5000], [0.3750, 0.1241, 0.7500], [0.8750, 0.1259, 0.7500], [0.5000, 0.5000, 0.0000], [0.8759, 0.1250, 0.2500], [0.0000, 0.0000, 0.0000], [0.8741, 0.6250, 0.2500]]}

{"formula": "TbEu2Tl", "functional": "PBE", "state": "relaxed", "m_tot_mub_per_cell": 15.2, "spacegroup": "No. 166", "n_ef_per_ev_atom": 1.2149, "polymorph_energy_ev_per_fu": 0.924, "energy_ev_per_atom": -6.80, "lattice_angstrom": [[-0.3708, -3.5765, 0.5790], [2.9468, -2.0748, 0.5254], [0.1357, 0.1440, 12.4302]], "species": ["Tl", "Tb", "Eu", "Eu"], "fractional_positions": [[0.5000, 0.5000, 0.5000], [0.0000, 0.0000, 0.0000], [0.9060, 0.9060, 0.2821], [0.0940, 0.0940, 0.7179]]}

{"formula": "TlCr2Ag", "functional": "PBE", "state": "relaxed", "m_tot_mub_per_cell": 8.2, "spacegroup": "No. 25", "n_ef_per_ev_atom": 0.6995, "energy_ev_per_atom": -5.39, "lattice_angstrom": [[-1.7789, -0.3191, -2.5925], [3.3074, -1.3704, -2.1007], [-1.3013, -5.5578, 1.5769]], "species": ["Tl", "Ag", "Cr", "Cr"], "fractional_positions": [[0.0000, 0.0000, 0.4850], [0.5000, 0.5000, 0.7801], [0.5000, 0.5000, 0.2548], [0.0000, 0.0000, 0.9802]]}

{"formula": "InSiSN2", "functional": "PBE", "state": "relaxed", "m_tot_mub_per_cell": 3.0, "spacegroup": "No. 123", "n_ef_per_ev_atom": 0.3909, "polymorph_energy_ev_per_fu": 6.207, "formation_energy_uncorrected_ev_per_atom": 1.59, "energy_ev_per_atom": -4.19, "lattice_angstrom": [[-4.1629, 0.2423, 0.4907], [0.4427, -0.7227, 4.1123], [0.4143, 5.3151, 0.8895]], "species": ["N", "Si", "N", "In", "S"], "fractional_positions": [[0.0000, 0.5000, 0.0000], [0.5000, 0.5000, 0.5000], [0.5000, 0.0000, 0.0000], [0.0000, 0.0000, 0.0000], [0.0000, 0.0000, 0.5000]]}

{"formula": "PrSbRh4", "functional": "PBE", "state": "relaxed", "m_tot_mub_per_cell": 0.0, "spacegroup": "No. 51", "n_ef_per_ev_atom": 1.1641, "polymorph_energy_ev_per_fu": 0.096, "formation_energy_uncorrected_ev_per_atom": -0.34, "energy_ev_per_atom": -6.73, "lattice_angstrom": [[4.1060, 0.0000, 0.0000], [0.0000, 7.1360, 0.0000], [0.0000, 0.0000, 7.6726]], "species": ["Rh", "Rh", "Sb", "Rh", "Pr", "Rh", "Rh", "Rh", "Rh", "Sb", "Pr", "Rh"], "fractional_positions": [[0.5000, 0.9567, 0.7500], [0.5000, 0.2955, 0.5433], [0.0000, 0.2333, 0.7500], [0.0000, 0.0000, 0.5000], [0.0000, 0.6631, 0.7500], [0.5000, 0.7045, 0.4567], [0.5000, 0.2955, 0.9567], [0.5000, 0.0433, 0.2500], [0.0000, 0.0000, 0.0000], [0.0000, 0.7667, 0.2500], [0.0000, 0.3369, 0.2500], [0.5000, 0.7045, 0.0433]]}

{"formula": "Tb2Sm5Y4", "functional": "PBE", "state": "relaxed", "m_tot_mub_per_cell": 0.0, "spacegroup": "No. 12", "n_ef_per_ev_atom": 1.5100, "polymorph_energy_ev_per_fu": 0.000, "energy_ev_per_atom": -5.22, "lattice_angstrom": [[-2.0138, 6.3112, -0.7994], [-4.9706, 0.6782, -4.4002], [-7.7301, 0.7023, 5.2484]], "species": ["Y", "Tb", "Sm", "Y", "Y", "Sm", "Sm", "Sm", "Sm", "Y", "Tb"], "fractional_positions": [[0.3331, 0.3331, 0.1196], [0.1458, 0.1458, 0.8812], [0.7866, 0.3456, 0.2299], [0.6937, 0.6936, 0.4987], [0.3063, 0.3064, 0.5013], [0.0000, 0.0000, 0.5000], [0.6544, 0.2134, 0.7701], [0.2134, 0.6544, 0.7701], [0.3456, 0.7866, 0.2299], [0.6669, 0.6669, 0.8804], [0.8542, 0.8542, 0.1188]]}

{"formula": "NaZr3H", "functional": "PBE", "state": "relaxed", "m_tot_mub_per_cell": 0.0, "spacegroup": "No. 221", "n_ef_per_ev_atom": 2.0314, "polymorph_energy_ev_per_fu": 9.469, "energy_ev_per_atom": -3.95, "lattice_angstrom": [[5.0500, 0.0000, 0.0000], [0.0000, 5.0500, 0.0000], [0.0000, 0.0000, 5.0500]], "species": ["H", "Zr", "Zr", "Na", "Zr"], "fractional_positions": [[0.5000, 0.5000, 0.5000], [0.0000, 0.5000, 0.0000], [0.0000, 0.0000, 0.5000], [0.0000, 0.0000, 0.0000], [0.5000, 0.0000, 0.0000]]}